BaMnRe2: relaxed, PBE.

Summary:
Total moment (μB per cell): 6.37
Energy of formation from the pure elements (eV per formula unit): 4.62
Electronic total energy (eV/cell): -62.73
Offset from the most stable computed form (meV/atom): 622
D(E_F) (states/eV/cell): 6.40

Lattice parameters (Å, degrees): 3.1905 5.5571 10.2244 90.00 90.00 90.00
Last column: nearest neighbours and their distance in Å.
Space group Imm2 (No. 44)
Inequivalent atoms, fractional coordinates:
Ba 0.0000 0.0000 0.0000  2 Ba 3.19, 8 Re 3.22-3.46, 4 Mn 3.44-3.47
Mn 0.0000 0.5000 0.8010  2 Re 2.80
Re 0.0000 0.0000 0.5263  2 Re 2.40
Re 0.0000 0.5000 0.2020  2 Re 2.40